# 1
First-principles (PBE-GGA) data for BaCuAg2 after structural relaxation, as listed in Alexandria via LeMat-Bulk.

Computed properties:
Crystal system ... orthorhombic
Energy of formation ... 0.0653 eV/atom
Fermi-level density of states ... 1.42 states/eV/f.u.
E above lowest polymorph ... 164 meV/atom

```
4
Lattice="-4.599 -0.178 -2.953 -2.954 -2.000 4.144 2.747 4.699 -0.523" Properties=species:S:1:pos:R:3 pbc="T T T"
Ag -0.524 -0.151 0.083
Ag -3.252 -0.938 0.513
Ba -2.814 1.716 -1.440
Cu -1.992 0.805 2.108
```

# 2
First-principles (PBE-GGA) data for BaEuCuAg after structural relaxation, as listed in Alexandria via LeMat-Bulk.

Computed properties:
Crystal system ... cubic
Energy of formation ... -0.0847 eV/atom
Fermi-level density of states ... 9.83 states/eV/f.u.

```
4
Lattice="-0.017 -4.942 -2.486 4.475 -1.725 -2.757 3.077 -4.126 2.026" Properties=species:S:1:pos:R:3 pbc="T T T"
Eu 0.000 0.000 0.000
Cu 1.884 -2.698 -0.804
Ba 3.767 -5.397 -1.608
Ag 5.651 -8.095 -2.413
```

# 3
First-principles (PBE-GGA) data for BaCu3Ag4F12 after structural relaxation, as listed in Alexandria via LeMat-Bulk.

Computed properties:
Crystal system ... cubic
Raw formation energy ... -155.8 kJ/mol of atoms
Fermi-level density of states ... 0.53 states/eV/f.u.

```
20
Lattice="-1.890 5.922 4.026 -5.054 -5.333 0.931 6.628 -2.468 2.199" Properties=species:S:1:pos:R:3 pbc="T T T"
Ba 0.000 0.000 0.000
Cu 0.787 -3.901 1.565
Cu -3.472 0.294 2.479
Cu 2.369 1.727 3.113
Ag -0.945 2.961 2.013
Ag -0.158 -0.940 3.579
Ag -2.527 -2.667 0.466
Ag 3.314 -1.234 1.100
F -3.726 -3.033 2.518
F 3.410 1.154 4.639
F -2.112 -1.857 4.638
F -3.949 0.909 4.250
F -0.337 3.262 4.321
F -0.515 -2.485 1.770
F -1.584 0.708 2.561
F 0.021 -5.142 2.836
F 1.796 -0.022 2.519
F 3.633 -2.788 2.907
F 0.199 0.605 5.387
F 1.268 -2.587 4.596
```

# 4
First-principles (PBE-GGA) data for BaCuAg2F6 after structural relaxation, as listed in Alexandria via LeMat-Bulk.

Computed properties:
Crystal system ... monoclinic
Raw formation energy ... -189.3 kJ/mol of atoms

```
20
Lattice="6.062 0.000 -0.436 0.000 6.012 0.000 -0.576 0.000 9.186" Properties=species:S:1:pos:R:3 pbc="T T T"
Ba 3.031 0.000 -0.218
Ba -0.288 3.006 4.593
Cu 2.743 0.000 4.375
Cu 0.000 3.006 0.000
Ag 0.006 5.769 2.180
Ag 2.749 3.248 6.555
Ag 5.481 0.242 6.570
Ag 2.738 2.764 2.195
F 1.440 4.122 0.621
F 4.183 4.896 4.996
F 4.046 1.890 8.129
F 1.303 1.116 3.754
F 1.793 4.458 3.681
F 4.536 4.560 8.056
F 3.693 1.554 5.069
F 0.950 1.452 0.694
F 4.910 3.727 1.775
F 1.591 5.290 6.586
F 0.576 2.284 6.975
F 3.896 0.721 2.164
```

Raw total energy, respectively: -11.460 -19.483 -80.369 -42.567 eV per formula unit.